Entry 1:
# Ho4BiSe3 | OQMD via LeMat-Bulk | PBE | relaxed
data_Ho4BiSe3
_chemical_formula_sum 'Ho4 Bi1 Se3'
_cell_length_a 7.2061
_cell_length_b 7.2061
_cell_length_c 7.2061
_cell_angle_alpha 131.67
_cell_angle_beta 131.67
_cell_angle_gamma 70.75
_symmetry_space_group_name_H-M 'P 1'
_symmetry_Int_Tables_number 1
_symmetry_space_group_name_Hall 'P 1'
loop_
_atom_site_label
_atom_site_fract_x
_atom_site_fract_y
_atom_site_fract_z
Ho1 0.0000 0.5000 0.5000
Ho2 0.2393 0.2393 0.0000
Ho3 0.5000 0.0000 0.5000
Ho4 0.7607 0.7607 0.0000
Bi1 0.5000 0.5000 0.0000
Se1 0.0000 0.0000 0.0000
Se2 0.2500 0.7500 0.5000
Se3 0.7500 0.2500 0.5000
# **Total energy**: -5.560 eV per atom
# **Total moment**: 0.001 μB per atom

Entry 2:
# ZnSiBi | OQMD via LeMat-Bulk | PBE | relaxed
data_ZnSiBi
_chemical_formula_sum 'Zn1 Si1 Bi1'
_cell_length_a 4.8491
_cell_length_b 4.8491
_cell_length_c 4.8491
_cell_angle_alpha 60.00
_cell_angle_beta 60.00
_cell_angle_gamma 60.00
_symmetry_space_group_name_H-M 'P 1'
_symmetry_Int_Tables_number 1
_symmetry_space_group_name_Hall 'P 1'
loop_
_atom_site_label
_atom_site_fract_x
_atom_site_fract_y
_atom_site_fract_z
Zn1 0.0000 0.0000 0.0000
Si1 0.5000 0.5000 0.5000
Bi1 0.7500 0.7500 0.7500
# **Energy above the lowest structure with this stoichiometry**: 161 meV per atom
# **Total energy**: -2.997 eV per atom